A plane-wave DFT calculation with PBE was carried out for a geometry-optimized AlFeTc2 structure.

Structure (POSCAR):
```
AlFeTc2
1.0
2.6233 -4.1927 0.0000
2.6233 4.1927 0.0000
-0.8521 0.0000 2.5150
Al Fe Tc
1 1 2
direct
0.0000 0.0000 0.0000
0.5000 0.5000 0.0000
0.0000 0.5000 0.5000
0.5000 0.0000 0.5000
```

Summary:
**Calculated volume**: 55.32 Å³/cell
**Fermi-level density of states**: 3.13 states/eV/cell
**Formation energy from the elements**: -0.043 eV per atom

***

A plane-wave DFT calculation with PBE was carried out for a geometry-optimized AlFe2Tc structure.

Structure (POSCAR):
```
AlFe2Tc
1.0
2.9258 0.0000 0.0000
0.0000 2.9258 0.0000
0.0000 0.0000 5.9334
Al Fe Tc
1 2 1
direct
0.0000 0.0000 0.0000
0.0000 0.0000 0.4674
0.5000 0.5000 0.2417
0.5000 0.5000 0.7146
```

Summary:
**Calculated volume**: 50.79 Å³/cell
**Fermi-level density of states**: 3.91 states/eV/cell
**Formation energy from the elements**: -0.149 eV per atom

***

A plane-wave DFT calculation with PBE was carried out for a geometry-optimized Al12Fe6Tc structure.

Structure (POSCAR):
```
Al12Fe6Tc
1.0
-4.0428 4.0428 4.0428
4.0428 -4.0428 4.0428
4.0428 4.0428 -4.0428
Al Fe Tc
12 6 1
direct
0.1017 0.8240 0.2777
0.1760 0.2777 0.4537
0.1760 0.7223 0.8983
0.2777 0.1017 0.8240
0.2777 0.4537 0.1760
0.4537 0.1760 0.2777
0.5463 0.8240 0.7223
0.7223 0.5463 0.8240
0.7223 0.8983 0.1760
0.8240 0.2777 0.1017
0.8240 0.7223 0.5463
0.8983 0.1760 0.7223
0.1410 0.6410 0.5000
0.3590 0.5000 0.8590
0.5000 0.1410 0.6410
0.5000 0.8590 0.3590
0.6410 0.5000 0.1410
0.8590 0.3590 0.5000
0.0000 0.0000 0.0000
```

Summary:
**Calculated volume**: 264.30 Å³/cell
**Fermi-level density of states**: 11.24 states/eV/cell
**Formation energy from the elements**: -0.239 eV per atom

***

A plane-wave DFT calculation with PBE was carried out for a geometry-optimized AlFe2Tc structure.

Structure (POSCAR):
```
AlFe2Tc
1.0
2.5415 -4.1628 0.0000
2.5415 4.1628 0.0000
-0.7743 0.0000 2.4637
Al Fe Tc
1 2 1
direct
0.0000 0.0000 0.0000
0.0000 0.5000 0.5000
0.5000 0.0000 0.5000
0.5000 0.5000 0.0000
```

Summary:
**Calculated volume**: 52.13 Å³/cell
**Fermi-level density of states**: 3.80 states/eV/cell
**Formation energy from the elements**: -0.062 eV per atom

***

A plane-wave DFT calculation with PBE was carried out for a geometry-optimized AlFe2Tc structure.

Structure (POSCAR):
```
AlFe2Tc
1.0
2.7702 0.0000 0.0000
0.0000 2.7702 0.0000
0.0000 0.0000 6.2953
Al Fe Tc
1 2 1
direct
0.0000 0.0000 0.0000
0.5000 0.5000 0.2413
0.5000 0.5000 0.7587
0.0000 0.0000 0.5000
```

Summary:
**Calculated volume**: 48.31 Å³/cell
**Fermi-level density of states**: 3.56 states/eV/cell
**Formation energy from the elements**: -0.148 eV per atom

***

A plane-wave DFT calculation with PBE was carried out for a geometry-optimized AlFeTc2 structure.

Structure (POSCAR):
```
AlFeTc2
1.0
2.7039 0.0000 0.0000
0.0000 4.1395 0.0000
-1.2184 0.0000 4.9268
Al Fe Tc
1 1 2
direct
0.0000 0.0000 0.0000
0.7385 0.5000 0.2193
0.2799 0.5000 0.7295
0.5708 0.0000 0.4887
```

Summary:
**Calculated volume**: 55.14 Å³/cell
**Fermi-level density of states**: 3.49 states/eV/cell
**Formation energy from the elements**: -0.074 eV per atom